Entry from Alexandria: crystalline TmGe2Mo at its relaxed geometry (PBE).

Unit cell a=3.660 b=3.660 c=7.124 alpha=75.11 beta=75.11 gamma=60.00
Atoms (fractional coordinates):
Mo 0.000 0.000 0.000
Tm 0.500 0.500 0.500
Ge 0.740 0.740 0.779
Ge 0.260 0.260 0.221

The calculation puts the formation energy at -0.265 eV per atom. As for the density: 8629 kg/m3. Its offset from the most stable computed form is 15 meV per atom.